(1)
4
Lattice="-1.876 1.876 4.203 1.876 -1.876 4.203 1.876 1.876 -4.203" Properties=species:S:1:pos:R:3 comment="SiIrW2 PBE optimized geometry" formation_energy_uncorrected_ev_per_atom=-0.12 final_energy_ev_per_atom=-10.17 dos_ef_per_ev_fu=1.4 m_tot_mub_per_fu=0.0 space_group="No. 139" pbc="T T T"
Si 0.000 0.000 0.000
Ir 0.000 0.000 4.203
W 1.876 0.000 2.101
W 0.000 1.876 2.101

(2)
4
Lattice="4.465 -1.404 0.000 4.465 1.404 0.000 -0.562 0.000 4.705" Properties=species:S:1:pos:R:3 comment="SiIr2W PBE optimized geometry" formation_energy_uncorrected_ev_per_atom=-0.19 final_energy_ev_per_atom=-9.21 dos_ef_per_ev_fu=2.0 m_tot_mub_per_fu=0.0 space_group="No. 8" pbc="T T T"
Si 0.000 0.000 0.000
Ir 4.091 0.000 2.169
Ir 6.520 0.000 0.659
W 1.693 0.000 3.079